Here is a relaxed PrYGaRh crystal from Alexandria via LeMat-Bulk. Energies are from PBE-GGA.

Calculated values
E above lowest polymorph   0 meV per atom

a = 4.2487 Å, b = 5.7260 Å, c = 5.7260 Å
α = 43.67°, β = 90.00°, γ = 90.00°
Closest atoms and distances in Å follow each position.
Positions (direct):
Pr 0.0000 0.0000 0.0000  3 Rh 2.90-3.22, 4 Ga 3.13
Y 0.5000 0.2838 0.2838  3 Ga 3.02-3.17, 4 Rh 3.07
Ga 0.5000 0.5821 0.5821  2 Rh 2.62
Rh 0.0000 0.7271 0.7271  2 Ga 2.62, 1 Pr 2.90

***

Here is a relaxed Pr2YGa3Rh4 crystal from Alexandria via LeMat-Bulk. Energies are from PBE-GGA.

a = 4.3051 Å, b = 4.3051 Å, c = 10.9496 Å
α = 90.00°, β = 90.00°, γ = 90.00°
Closest atoms and distances in Å follow each position.
Positions (direct):
Pr 0.0000 0.5000 0.2222  8 Rh 3.25-3.33, 4 Ga 3.26
Pr 0.5000 0.0000 0.7778  8 Rh 3.25-3.33, 4 Ga 3.26
Y 0.0000 0.0000 0.5000  4 Rh 2.74, 4 Ga 3.04
Ga 0.0000 0.5000 0.8845  5 Rh 2.50-2.52
Ga 0.5000 0.0000 0.1155  5 Rh 2.50-2.52
Ga 0.5000 0.5000 0.5000  4 Rh 2.74, 4 Y 3.04
Rh 0.0000 0.0000 0.0000  4 Ga 2.50
Rh 0.0000 0.5000 0.6542  3 Ga 2.52-2.74, 2 Y 2.74
Rh 0.5000 0.0000 0.3458  3 Ga 2.52-2.74, 2 Y 2.74
Rh 0.5000 0.5000 0.0000  4 Ga 2.50

***

Here is a relaxed PrYGaRh crystal from Alexandria via LeMat-Bulk. Energies are from PBE-GGA.

Calculated values
E above lowest polymorph   94 meV per atom

a = 5.0766 Å, b = 5.0766 Å, c = 5.0766 Å
α = 60.00°, β = 60.00°, γ = 60.00°
Closest atoms and distances in Å follow each position.
Positions (direct):
Pr 0.0000 0.0000 0.0000  4 Ga 3.11, 4 Rh 3.11
Y 0.5000 0.5000 0.5000  4 Rh 3.11, 4 Ga 3.11
Ga 0.7500 0.7500 0.7500  4 Y 3.11, 4 Pr 3.11
Rh 0.2500 0.2500 0.2500  4 Y 3.11, 4 Pr 3.11

***

Here is a relaxed PrYGa2Rh2 crystal from Alexandria via LeMat-Bulk. Energies are from PBE-GGA.

a = 4.4078 Å, b = 4.4078 Å, c = 7.4027 Å
α = 90.00°, β = 90.00°, γ = 120.00°
Closest atoms and distances in Å follow each position.
Positions (direct):
Pr 0.0000 0.0000 0.0000  6 Ga 3.23, 6 Rh 3.27
Y 0.0000 0.0000 0.5000  6 Rh 3.03, 6 Ga 3.06
Ga 0.3333 0.6667 0.2694  3 Rh 2.55
Ga 0.6667 0.3333 0.7306  3 Rh 2.55
Rh 0.3333 0.6667 0.7232  3 Ga 2.55
Rh 0.6667 0.3333 0.2768  3 Ga 2.55

***

Here is a relaxed PrZnGaRh3 crystal from Alexandria via LeMat-Bulk. Energies are from PBE-GGA.

a = 6.7832 Å, b = 6.7832 Å, c = 5.8796 Å
α = 90.00°, β = 90.00°, γ = 124.87°
Closest atoms and distances in Å follow each position.
Positions (direct):
Pr 0.1939 0.8061 0.7500  1 Zn 2.88, 2 Ga 3.01, 6 Rh 3.06-3.17
Pr 0.8061 0.1939 0.2500  1 Zn 2.88, 2 Ga 3.01, 6 Rh 3.06-3.17
Zn 0.4336 0.5664 0.7500  5 Rh 2.46-2.67
Zn 0.5664 0.4336 0.2500  5 Rh 2.46-2.67
Ga 0.1386 0.8614 0.2500  5 Rh 2.48-2.59
Ga 0.8614 0.1386 0.7500  5 Rh 2.48-2.59
Rh 0.2130 0.2130 0.0000  2 Zn 2.46, 2 Ga 2.59, 1 Rh 2.67
Rh 0.2130 0.2130 0.5000  2 Zn 2.46, 2 Ga 2.59, 1 Rh 2.67
Rh 0.3445 0.6555 0.2500  1 Ga 2.48, 1 Zn 2.67
Rh 0.6555 0.3445 0.7500  1 Ga 2.48, 1 Zn 2.67
Rh 0.7870 0.7870 0.0000  2 Zn 2.46, 2 Ga 2.59, 1 Rh 2.67
Rh 0.7870 0.7870 0.5000  2 Zn 2.46, 2 Ga 2.59, 1 Rh 2.67

***

Here is a relaxed PrZn2GaRh crystal from Alexandria via LeMat-Bulk. Energies are from PBE-GGA.

a = 6.3174 Å, b = 6.3174 Å, c = 6.3174 Å
α = 142.48°, β = 141.60°, γ = 54.77°
Closest atoms and distances in Å follow each position.
Positions (direct):
Pr 0.0000 0.0000 0.0000  8 Zn 3.18-3.49, 4 Ga 3.18, 4 Rh 3.47-3.48
Zn 0.6149 0.6149 0.0000  2 Zn 2.54, 2 Rh 2.58, 1 Ga 2.59
Zn 0.7502 0.2502 0.5000  2 Zn 2.54, 2 Ga 2.56
Ga 0.3838 0.3838 0.0000  2 Rh 2.52, 3 Zn 2.56-2.59
Rh 0.2511 0.7511 0.5000  2 Ga 2.52, 2 Zn 2.58

***

Here is a relaxed Pr2Zn3Ga4Rh crystal from Alexandria via LeMat-Bulk. Energies are from PBE-GGA.

a = 4.2608 Å, b = 4.2608 Å, c = 10.6367 Å
α = 90.00°, β = 90.00°, γ = 90.00°
Closest atoms and distances in Å follow each position.
Positions (direct):
Pr 0.0000 0.5000 0.2473  6 Zn 3.25-3.38, 8 Ga 3.27-3.43, 2 Rh 3.38
Pr 0.5000 0.0000 0.7527  6 Zn 3.25-3.38, 8 Ga 3.27-3.43, 2 Rh 3.38
Zn 0.0000 0.0000 0.0000  4 Ga 2.53
Zn 0.0000 0.5000 0.6374  5 Ga 2.49-2.58
Zn 0.5000 0.0000 0.3626  5 Ga 2.49-2.58
Ga 0.0000 0.0000 0.5000  4 Zn 2.58
Ga 0.0000 0.5000 0.8716  3 Zn 2.49-2.53, 2 Rh 2.53
Ga 0.5000 0.0000 0.1284  3 Zn 2.49-2.53, 2 Rh 2.53
Ga 0.5000 0.5000 0.5000  4 Zn 2.58
Rh 0.5000 0.5000 0.0000  4 Ga 2.53

***

Here is a relaxed Pr2ZnGa3Rh4 crystal from Alexandria via LeMat-Bulk. Energies are from PBE-GGA.

a = 4.3025 Å, b = 4.3025 Å, c = 10.1835 Å
α = 90.00°, β = 90.00°, γ = 90.00°
Closest atoms and distances in Å follow each position.
Positions (direct):
Pr 0.0000 0.5000 0.2425  6 Ga 3.27-3.39, 8 Rh 3.27-3.30, 2 Zn 3.39
Pr 0.5000 0.0000 0.7575  6 Ga 3.27-3.39, 8 Rh 3.27-3.30, 2 Zn 3.39
Zn 0.0000 0.0000 0.5000  4 Rh 2.53
Ga 0.0000 0.5000 0.8758  5 Rh 2.49-2.50
Ga 0.5000 0.0000 0.1242  5 Rh 2.49-2.50
Ga 0.5000 0.5000 0.5000  4 Rh 2.53
Rh 0.0000 0.0000 0.0000  4 Ga 2.50
Rh 0.0000 0.5000 0.6315  3 Ga 2.49-2.53, 2 Zn 2.53
Rh 0.5000 0.0000 0.3685  3 Ga 2.49-2.53, 2 Zn 2.53
Rh 0.5000 0.5000 0.0000  4 Ga 2.50

***

no.,formation energy (eV/atom),DFT total energy (Ry per atom)
1,-0.672,-0.4467
2,-0.772,-0.4574
3,-0.578,-0.4398
4,-0.789,-0.4500
5,-0.343,-0.4066
6,-0.467,-0.2946
7,-0.525,-0.2800
8,-0.746,-0.4173